First-principles (PBE-GGA) data for an optimized crystal structure of Dy3ErAl, as listed in the Alexandria database.

Output
Calculated density ... 7973 kg/m³
Energy relative to the lowest polymorph listed for this composition ... 0.00 kJ/mol of atoms

abc: 6.681 6.681 12.380
angles: 95.13 95.13 31.08
Fractional coordinates of all 10 atoms:
Dy 0.035 0.035 0.195
Dy 0.141 0.141 0.449
Dy 0.364 0.364 0.020
Dy 0.636 0.636 0.980
Dy 0.859 0.859 0.551
Dy 0.965 0.965 0.805
Er 0.223 0.223 0.748
Er 0.777 0.777 0.252
Al 0.448 0.448 0.377
Al 0.552 0.552 0.623